Density functional theory data (GGA-PBE) for an optimized crystal structure of NpTc2P2.

Polymorph energy (0 for the lowest one), meV per atom: 0
Crystal system: tetragonal
Energy of formation from the pure elements, meV per atom: -620.5

```
5
Lattice="3.9670 0.0000 -1.1977 -0.3616 3.9505 -1.1978 -0.4945 -0.5418 5.5306" Properties=species:S:1:pos:R:3 pbc="T T T"
Np 0.0000 0.0000 0.0000
Tc 2.6376 0.7167 1.5676
Tc 0.4733 2.6920 1.5675
P 2.1379 2.3426 -0.0873
P 0.9729 1.0661 3.2224
```

Density functional theory data (GGA-PBE) for an optimized crystal structure of Dy8Sb2Ru.

Raw formation energy, eV per atom: -0.4613
Crystal system: monoclinic

```
11
Lattice="-4.4978 -0.7462 -0.8874 -1.1213 -1.4884 6.9354 0.6449 9.6428 0.7787" Properties=species:S:1:pos:R:3 pbc="T T T"
Dy -1.8472 6.7780 3.6631
Dy -2.7386 2.2127 -0.1360
Dy -3.8944 3.9162 4.2897
Dy -4.0908 8.4856 1.4426
Dy -1.0799 3.4920 2.5370
Dy -2.2357 5.1955 6.9627
Dy -3.1270 0.6301 3.1636
Dy -0.8835 -1.0774 5.3841
Sb -3.5259 5.1854 1.3547
Sb -1.4483 2.2227 5.4720
Ru -2.2489 -0.3731 -0.4437
```

Density functional theory data (GGA-PBE) for an optimized crystal structure of LaTaAg2Au.

Crystal system: tetragonal
Energy of formation from the pure elements, meV per atom: 1023.9

```
5
Lattice="5.1781 0.0000 0.0000 0.0000 5.4385 0.0000 0.0000 0.0000 5.1781" Properties=species:S:1:pos:R:3 pbc="T T T"
La 0.0000 2.7193 0.0000
Au 2.5891 2.7193 2.5891
Ag 0.0000 0.0000 2.5891
Ag 2.5891 0.0000 0.0000
Ta 0.0000 0.0000 0.0000
```

Density functional theory data (GGA-PBE) for an optimized crystal structure of PIrSCl2.

Polymorph energy (0 for the lowest one), meV per atom: 450
Raw formation energy, eV per atom: 1.0890
Crystal system: tetragonal

```
5
Lattice="-1.2185 -3.8535 -2.1200 3.9695 -0.0161 -2.2521 2.0379 -2.6309 3.6108" Properties=species:S:1:pos:R:3 pbc="T T T"
P 0.0000 0.0000 0.0000
S 1.0190 -1.3154 1.8054
Ir 2.3945 -3.2503 -0.3806
Cl 1.9847 -0.0081 -1.1260
Cl -0.6092 -1.9268 -1.0600
```

Density functional theory data (GGA-PBE) for an optimized crystal structure of NaNbOF2.

Polymorph energy (0 for the lowest one), meV per atom: 0
Raw formation energy, eV per atom: -2.2298
Crystal system: tetragonal

```
5
Lattice="-2.0894 3.3665 -1.8093 -1.7640 -2.6787 -2.9471 -3.1232 -0.6273 2.4396" Properties=species:S:1:pos:R:3 pbc="T T T"
Na -3.4883 0.0303 -1.1584
Nb 0.0000 0.0000 0.0000
O -1.5616 -0.3136 1.2198
F -0.8820 -1.3394 -1.4735
F -1.0447 1.6832 -0.9046
```

Density functional theory data (GGA-PBE) for an optimized crystal structure of Sr2LaTiV.

Crystal system: tetragonal
Energy of formation from the pure elements, meV per atom: 839.8

```
5
Lattice="-0.2121 -5.0641 3.6021 3.3404 -3.1322 -4.2067 3.7099 1.2684 2.0016" Properties=species:S:1:pos:R:3 pbc="T T T"
Sr 1.6702 -1.5661 -2.1034
Sr -0.1060 -2.5320 1.8011
V 1.8550 0.6342 1.0008
Ti 0.0000 0.0000 0.0000
La 3.4191 -3.4640 0.6985
```

Density functional theory data (GGA-PBE) for an optimized crystal structure of GdB4Ru.

Crystal system: orthorhombic
Energy of formation from the pure elements, meV per atom: -607.7

```
24
Lattice="-0.9573 -3.1879 -1.3116 4.5312 -2.5750 2.9515 -6.9156 -1.6863 9.1456" Properties=species:S:1:pos:R:3 pbc="T T T"
Gd 0.4253 -2.2079 5.0558
Gd -2.8096 -2.0534 7.0413
Gd -0.4560 -0.5828 1.7493
Gd -1.9284 -3.6785 10.3478
B 1.8070 -3.9329 3.3607
B -5.1487 -3.5163 7.4247
B -1.3551 -2.8640 3.0706
B -1.9865 -4.5852 7.7148
B 3.2210 -3.8678 2.1706
B -6.5626 -3.5814 8.6148
B -2.0803 -3.3205 4.7094
B -1.2614 -4.1287 6.0760
B 0.4091 -4.6464 6.1151
B -3.7507 -2.8028 4.6703
B 0.9605 -2.6720 0.9140
B -4.3021 -4.7772 9.8715
B 1.8046 -4.6270 5.0495
B -5.1463 -2.8222 5.7360
B 0.3552 -3.1405 2.4944
B -3.6968 -4.3087 8.2911
Ru 2.2600 -1.8029 2.7325
Ru -4.6444 -2.4584 9.3646
Ru -2.1863 -1.0471 4.1406
Ru -0.1981 -3.2142 7.9565
```

Density functional theory data (GGA-PBE) for an optimized crystal structure of NaTaO3.

Raw formation energy, eV per atom: -2.5426
Crystal system: orthorhombic

```
10
Lattice="-0.9893 -2.5874 2.7441 4.7523 1.7316 3.3459 -2.7926 5.3073 1.2198" Properties=species:S:1:pos:R:3 pbc="T T T"
Na -2.0700 3.4612 3.8968
Na 3.0404 0.9903 3.4131
O -1.6085 -0.8814 2.7407
O 2.5789 5.3328 4.5692
O 0.7676 -0.0156 4.4137
O 0.2027 4.4671 2.8962
O -0.7433 1.8430 2.8499
O 1.7137 2.6085 4.4600
Ta -1.1013 0.3840 4.1135
Ta 2.0717 4.0675 3.1964
```

| no. | D(E_F) (states/eV per atom) | spin magnetization (μB per formula unit) |
| --- | --- | --- |
| 1 | 2.2234 | 3.46 |
| 2 | 0.9156 | 0.00 |
| 3 | 1.0562 | 0.00 |
| 4 | 1.2484 | 2.38 |
| 5 | 0.1871 | 1.90 |
| 6 | 0.8345 | 1.08 |
| 7 | 0.1762 | 6.94 |
| 8 | 0.0000 | 0.00 |